# CeNd2HfP4

CeNd2HfP4 after structural relaxation (PBE-GGA, Alexandria via LeMat-Bulk).

Lattice parameters (Å, degrees): 4.0093 6.9432 6.9769 109.19 90.00 90.00
Last column: nearest neighbours and their distance in Å.
Element x y z (fractional)
1 Ce 0.5000 0.5000 0.0000  6 P 2.81-2.82
2 Nd 0.5000 0.0000 0.5000  6 P 2.87-2.88
3 Nd 0.0000 0.5000 0.5000  6 P 2.97
4 Hf 0.0000 0.0000 0.0000  6 P 2.70-2.72
5 P 0.5000 0.2311 0.2260  2 Hf 2.72, 1 Ce 2.81, 3 Nd 2.87-2.97
6 P 0.5000 0.7689 0.7740  2 Hf 2.72, 1 Ce 2.81, 3 Nd 2.87-2.97
7 P 0.0000 0.2431 0.7669  1 Hf 2.70, 2 Ce 2.82, 3 Nd 2.88-2.97
8 P 0.0000 0.7569 0.2331  1 Hf 2.70, 2 Ce 2.82, 3 Nd 2.88-2.97

## Properties
Its formation energy is -11.6 eV/f.u. Its density of states at the Fermi level is 5.618 states/eV per cell. As for the total energy: -7.331 eV per atom. For the calculated volume, the calculation gives 22.9 Å³ per atom.

---

# Ce2Hf2Ni15

Ce2Hf2Ni15 after structural relaxation (PBE-GGA, Alexandria via LeMat-Bulk).

Lattice parameters (Å, degrees): 6.4278 6.4278 6.4278 81.71 81.71 81.71
Last column: nearest neighbours and their distance in Å.
Element x y z (fractional)
1 Ce 0.3548 0.3548 0.3548  12 Ni 2.93-3.11, 1 Hf 3.12
2 Ce 0.6452 0.6452 0.6452  12 Ni 2.93-3.11, 1 Hf 3.12
3 Hf 0.1079 0.1079 0.1079  6 Ni 2.54-2.61, 1 Hf 2.73
4 Hf 0.8921 0.8921 0.8921  6 Ni 2.54-2.61, 1 Hf 2.73
5 Ni 0.5000 0.0000 0.0000  8 Ni 2.45-2.47, 2 Hf 2.54
6 Ni 0.0000 0.0000 0.5000  8 Ni 2.45-2.47, 2 Hf 2.54
7 Ni 0.0000 0.5000 0.0000  8 Ni 2.45-2.47, 2 Hf 2.54
8 Ni 0.0000 0.6957 0.3043  8 Ni 2.47-2.60
9 Ni 0.6957 0.3043 0.0000  8 Ni 2.47-2.60
10 Ni 0.3043 0.0000 0.6957  8 Ni 2.47-2.60
11 Ni 0.3043 0.6957 0.0000  8 Ni 2.47-2.60
12 Ni 0.6957 0.0000 0.3043  8 Ni 2.47-2.60
13 Ni 0.0000 0.3043 0.6957  8 Ni 2.47-2.60
14 Ni 0.1594 0.6530 0.6530  8 Ni 2.41-2.60, 1 Hf 2.61
15 Ni 0.6530 0.6530 0.1594  8 Ni 2.41-2.60, 1 Hf 2.61
16 Ni 0.6530 0.1594 0.6530  8 Ni 2.41-2.60, 1 Hf 2.61
17 Ni 0.8406 0.3470 0.3470  8 Ni 2.41-2.60, 1 Hf 2.61
18 Ni 0.3470 0.3470 0.8406  8 Ni 2.41-2.60, 1 Hf 2.61
19 Ni 0.3470 0.8406 0.3470  8 Ni 2.41-2.60, 1 Hf 2.61

## Properties
Its formation energy is -5.9 eV/f.u. Its density of states at the Fermi level is 23.333 states/eV per cell. As for the total energy: -6.547 eV per atom. For the calculated volume, the calculation gives 13.6 Å³ per atom.

---

# Ce2HfNi9

Ce2HfNi9 after structural relaxation (PBE-GGA, Alexandria via LeMat-Bulk).

Lattice parameters (Å, degrees): 4.8556 4.8556 8.7186 73.83 73.83 60.00
Last column: nearest neighbours and their distance in Å.
Element x y z (fractional)
1 Ce 0.8630 0.8630 0.4111  9 Ni 2.80-2.90
2 Ce 0.1370 0.1370 0.5889  9 Ni 2.80-2.90
3 Hf 0.0000 0.0000 0.0000  6 Ni 2.80
4 Ni 0.6670 0.6670 0.9989  6 Ni 2.43-2.44
5 Ni 0.3330 0.3330 0.0011  6 Ni 2.43-2.44
6 Ni 0.5000 0.5000 0.5000  6 Ni 2.55
7 Ni 0.4196 0.4196 0.2416  7 Ni 2.43-2.55
8 Ni 0.9192 0.4196 0.2416  7 Ni 2.43-2.55
9 Ni 0.4196 0.9192 0.2416  7 Ni 2.43-2.55
10 Ni 0.5804 0.5804 0.7584  7 Ni 2.43-2.55
11 Ni 0.5804 0.0808 0.7584  7 Ni 2.43-2.55
12 Ni 0.0808 0.5804 0.7584  7 Ni 2.43-2.55

## Properties
Its formation energy is -4.4 eV/f.u. Its density of states at the Fermi level is 11.618 states/eV per cell. As for the total energy: -6.524 eV per atom. For the calculated volume, the calculation gives 14.0 Å³ per atom.

---

# CeHf2Ni9

CeHf2Ni9 after structural relaxation (PBE-GGA, Alexandria via LeMat-Bulk).

Lattice parameters (Å, degrees): 4.8812 4.8812 8.4413 73.19 73.19 60.00
Last column: nearest neighbours and their distance in Å.
Element x y z (fractional)
1 Ce 0.0000 0.0000 0.0000  6 Ni 2.82
2 Hf 0.8594 0.8594 0.4219  12 Ni 2.76-2.89, 3 Hf 3.08
3 Hf 0.1406 0.1406 0.5781  12 Ni 2.76-2.89, 3 Hf 3.08
4 Ni 0.6663 0.6663 0.0012  6 Ni 2.49-2.50
5 Ni 0.3337 0.3337 0.9988  6 Ni 2.49-2.50
6 Ni 0.5000 0.5000 0.5000  6 Ni 2.39
7 Ni 0.4112 0.4112 0.2591  7 Ni 2.39-2.50
8 Ni 0.9185 0.4112 0.2591  7 Ni 2.39-2.50
9 Ni 0.4112 0.9185 0.2591  7 Ni 2.39-2.50
10 Ni 0.5888 0.5888 0.7409  7 Ni 2.39-2.50
11 Ni 0.5888 0.0815 0.7409  7 Ni 2.39-2.50
12 Ni 0.0815 0.5888 0.7409  7 Ni 2.39-2.50

## Properties
Its formation energy is -5.5 eV/f.u. Its density of states at the Fermi level is 7.760 states/eV per cell. As for the total energy: -6.945 eV per atom. For the calculated volume, the calculation gives 13.7 Å³ per atom.